Record 1
Compound: Be2SbMo
Source: Alexandria
Functional: PBE
Structure: relaxed

Unit cell a=2.8584 b=2.8584 c=8.1796 alpha=90.00 beta=90.00 gamma=90.00
Last column: nearest neighbours and their distance in Å.
Fractional coordinates of all 4 atoms:
Be 0.0000 0.0000 0.0000  4 Be 2.22
Be 0.5000 0.5000 0.1127  4 Be 2.22
Sb 0.5000 0.5000 0.5836  4 Sb 2.86, 4 Mo 3.02
Mo 0.0000 0.0000 0.3092  5 Be 2.53-2.58

* space group: P4mm
* formation energy from raw total energies: 0.56 eV/atom
* magnetic moment: 0.00 μB per formula unit
* DFT total energy: -5.0451 eV per atom
* density of states at the Fermi level: 2.5 states/eV per cell

---

Record 2
Compound: BeSb3Mo
Source: Alexandria
Functional: PBE
Structure: relaxed

Unit cell a=4.8763 b=4.8763 c=4.8763 alpha=90.00 beta=90.00 gamma=90.00
Last column: nearest neighbours and their distance in Å.
Fractional coordinates of all 5 atoms:
Be 0.0000 0.0000 0.0000  6 Sb 2.44
Sb 0.0000 0.0000 0.5000  2 Be 2.44
Sb 0.0000 0.5000 0.0000  2 Be 2.44
Sb 0.5000 0.0000 0.0000  2 Be 2.44
Mo 0.5000 0.5000 0.5000  12 Sb 3.45

* space group: Pm-3m
* formation energy from raw total energies: 0.98 eV/atom
* magnetic moment: 3.52 μB per formula unit
* DFT total energy: -4.4096 eV per atom
* density of states at the Fermi level: 3.8 states/eV per cell

---

Record 3
Compound: BeSn2SbMo
Source: Alexandria
Functional: PBE
Structure: relaxed

Unit cell a=4.8493 b=4.8493 c=4.9726 alpha=90.00 beta=90.00 gamma=90.00
Last column: nearest neighbours and their distance in Å.
Fractional coordinates of all 5 atoms:
Be 0.0000 0.0000 0.0000  4 Sn 2.42, 2 Sb 2.49
Sn 0.0000 0.5000 0.0000  2 Be 2.42
Sn 0.5000 0.0000 0.0000  2 Be 2.42
Sb 0.0000 0.0000 0.5000  2 Be 2.49
Mo 0.5000 0.5000 0.5000  4 Sb 3.43, 8 Sn 3.47

* space group: P4/mmm
* formation energy from raw total energies: 0.94 eV/atom
* magnetic moment: 3.72 μB per formula unit
* DFT total energy: -4.4006 eV per atom
* density of states at the Fermi level: 3.2 states/eV per cell

---

Record 4
Compound: BeTcSbMo2
Source: Alexandria
Functional: PBE
Structure: relaxed

Unit cell a=4.7716 b=4.7716 c=4.2023 alpha=90.00 beta=90.00 gamma=90.00
Last column: nearest neighbours and their distance in Å.
Fractional coordinates of all 5 atoms:
Be 0.0000 0.0000 0.0000  2 Tc 2.10
Tc 0.0000 0.0000 0.5000  2 Be 2.10
Sb 0.5000 0.5000 0.0000  8 Mo 3.18, 4 Be 3.37
Mo 0.0000 0.5000 0.5000  2 Tc 2.39
Mo 0.5000 0.0000 0.5000  2 Tc 2.39

* space group: P4/mmm
* formation energy from raw total energies: 1.14 eV/atom
* magnetic moment: 0.00 μB per formula unit
* DFT total energy: -6.8342 eV per atom
* density of states at the Fermi level: 4.4 states/eV per cell

---

Question: Which value of DFT total energy does entry 2 give?
Answer: -4.4096 eV per atom